Entry 1:
# Ba2Mg2Cd PBE relaxed
# - Crystal system: monoclinic
# - Energy relative to the lowest polymorph listed for this composition: 0.00 eV/f.u.
# - M_tot: 0.00 μB per formula unit
# - E_form: -144 meV/atom
data_Ba2Mg2Cd
_cell_length_a 7.198
_cell_length_b 7.198
_cell_length_c 8.491
_cell_angle_alpha 106.80
_cell_angle_beta 106.80
_cell_angle_gamma 63.78
_symmetry_space_group_name_H-M 'P 1'
_symmetry_Int_Tables_number 1
loop_
_symmetry_equiv_pos_as_xyz
'x,y,z'
loop_
_atom_site_label
_atom_site_type_symbol
_atom_site_fract_x
_atom_site_fract_y
_atom_site_fract_z
_atom_site_occupancy
Ba1 Ba 0.093 0.250 0.152 1
Ba2 Ba 0.250 0.093 0.652 1
Ba3 Ba 0.750 0.907 0.348 1
Ba4 Ba 0.907 0.750 0.848 1
Mg1 Mg 0.295 0.543 0.551 1
Mg2 Mg 0.457 0.705 0.949 1
Mg3 Mg 0.543 0.295 0.051 1
Mg4 Mg 0.705 0.457 0.449 1
Cd1 Cd 0.294 0.706 0.250 1
Cd2 Cd 0.706 0.294 0.750 1

Entry 2:
# BaMg6Cd PBE relaxed
# - Crystal system: trigonal
# - Energy relative to the lowest polymorph listed for this composition: 0.00 eV/f.u.
# - M_tot: 0.00 μB per formula unit
# - E_form: -14 meV/atom
data_BaMg6Cd
_cell_length_a 10.693
_cell_length_b 10.693
_cell_length_c 10.693
_cell_angle_alpha 27.19
_cell_angle_beta 27.19
_cell_angle_gamma 27.19
_symmetry_space_group_name_H-M 'P 1'
_symmetry_Int_Tables_number 1
loop_
_symmetry_equiv_pos_as_xyz
'x,y,z'
loop_
_atom_site_label
_atom_site_type_symbol
_atom_site_fract_x
_atom_site_fract_y
_atom_site_fract_z
_atom_site_occupancy
Ba1 Ba 0.000 0.000 0.000 1
Mg1 Mg 0.133 0.133 0.133 1
Mg2 Mg 0.242 0.242 0.242 1
Mg3 Mg 0.406 0.406 0.406 1
Mg4 Mg 0.594 0.594 0.594 1
Mg5 Mg 0.758 0.758 0.758 1
Mg6 Mg 0.867 0.867 0.867 1
Cd1 Cd 0.500 0.500 0.500 1

Entry 3:
# BaMg2Cd9 PBE relaxed
# - Crystal system: hexagonal
# - Energy relative to the lowest polymorph listed for this composition: 1.38 eV/f.u.
# - M_tot: 0.00 μB per formula unit
# - E_form: -81 meV/atom
data_BaMg2Cd9
_cell_length_a 10.076
_cell_length_b 10.076
_cell_length_c 3.386
_cell_angle_alpha 90.00
_cell_angle_beta 90.00
_cell_angle_gamma 120.00
_symmetry_space_group_name_H-M 'P 1'
_symmetry_Int_Tables_number 1
loop_
_symmetry_equiv_pos_as_xyz
'x,y,z'
loop_
_atom_site_label
_atom_site_type_symbol
_atom_site_fract_x
_atom_site_fract_y
_atom_site_fract_z
_atom_site_occupancy
Ba1 Ba 0.000 0.000 0.000 1
Mg1 Mg 0.333 0.667 0.000 1
Mg2 Mg 0.667 0.333 0.000 1
Cd1 Cd 0.000 0.500 0.000 1
Cd2 Cd 0.183 0.367 0.500 1
Cd3 Cd 0.183 0.817 0.500 1
Cd4 Cd 0.367 0.183 0.500 1
Cd5 Cd 0.500 0.000 0.000 1
Cd6 Cd 0.500 0.500 0.000 1
Cd7 Cd 0.633 0.817 0.500 1
Cd8 Cd 0.817 0.183 0.500 1
Cd9 Cd 0.817 0.633 0.500 1

Entry 4:
# BaMg2Cd PBE relaxed
# - Crystal system: trigonal
# - M_tot: 0.00 μB per formula unit
# - E_form: -110 meV/atom
data_BaMg2Cd
_cell_length_a 6.759
_cell_length_b 6.759
_cell_length_c 6.759
_cell_angle_alpha 43.43
_cell_angle_beta 43.43
_cell_angle_gamma 43.43
_symmetry_space_group_name_H-M 'P 1'
_symmetry_Int_Tables_number 1
loop_
_symmetry_equiv_pos_as_xyz
'x,y,z'
loop_
_atom_site_label
_atom_site_type_symbol
_atom_site_fract_x
_atom_site_fract_y
_atom_site_fract_z
_atom_site_occupancy
Ba1 Ba 0.000 0.000 0.000 1
Mg1 Mg 0.200 0.200 0.200 1
Mg2 Mg 0.800 0.800 0.800 1
Cd1 Cd 0.500 0.500 0.500 1

Entry 5:
# Ba2MgCd2 PBE relaxed
# - Crystal system: tetragonal
# - Energy relative to the lowest polymorph listed for this composition: 0.26 eV/f.u.
# - M_tot: 0.00 μB per formula unit
# - E_form: -187 meV/atom
data_Ba2MgCd2
_cell_length_a 8.375
_cell_length_b 8.375
_cell_length_c 5.296
_cell_angle_alpha 90.00
_cell_angle_beta 90.00
_cell_angle_gamma 90.00
_symmetry_space_group_name_H-M 'P 1'
_symmetry_Int_Tables_number 1
loop_
_symmetry_equiv_pos_as_xyz
'x,y,z'
loop_
_atom_site_label
_atom_site_type_symbol
_atom_site_fract_x
_atom_site_fract_y
_atom_site_fract_z
_atom_site_occupancy
Ba1 Ba 0.180 0.320 0.000 1
Ba2 Ba 0.320 0.820 0.000 1
Ba3 Ba 0.680 0.180 0.000 1
Ba4 Ba 0.820 0.680 0.000 1
Mg1 Mg 0.000 0.000 0.500 1
Mg2 Mg 0.500 0.500 0.500 1
Cd1 Cd 0.125 0.625 0.500 1
Cd2 Cd 0.375 0.125 0.500 1
Cd3 Cd 0.625 0.875 0.500 1
Cd4 Cd 0.875 0.375 0.500 1

Entry 6:
# BaMg11Cd PBE relaxed
# - Crystal system: monoclinic
# - M_tot: 0.00 μB per formula unit
# - E_form: -74 meV/atom
data_BaMg11Cd
_cell_length_a 8.009
_cell_length_b 8.009
_cell_length_c 7.959
_cell_angle_alpha 97.77
_cell_angle_beta 97.77
_cell_angle_gamma 136.16
_symmetry_space_group_name_H-M 'P 1'
_symmetry_Int_Tables_number 1
loop_
_symmetry_equiv_pos_as_xyz
'x,y,z'
loop_
_atom_site_label
_atom_site_type_symbol
_atom_site_fract_x
_atom_site_fract_y
_atom_site_fract_z
_atom_site_occupancy
Ba1 Ba 0.000 0.000 0.000 1
Mg1 Mg 0.000 0.000 0.500 1
Mg2 Mg 0.000 0.500 0.000 1
Mg3 Mg 0.005 0.650 0.642 1
Mg4 Mg 0.283 0.504 0.775 1
Mg5 Mg 0.350 0.995 0.358 1
Mg6 Mg 0.496 0.717 0.225 1
Mg7 Mg 0.500 0.000 0.000 1
Mg8 Mg 0.504 0.283 0.775 1
Mg9 Mg 0.650 0.005 0.642 1
Mg10 Mg 0.717 0.496 0.225 1
Mg11 Mg 0.995 0.350 0.358 1
Cd1 Cd 0.500 0.500 0.500 1

Entry 7:
# BaMg6Cd12 PBE relaxed
# - Crystal system: trigonal
# - M_tot: 0.00 μB per formula unit
# - E_form: -52 meV/atom
data_BaMg6Cd12
_cell_length_a 8.132
_cell_length_b 8.132
_cell_length_c 8.132
_cell_angle_alpha 103.34
_cell_angle_beta 103.34
_cell_angle_gamma 103.34
_symmetry_space_group_name_H-M 'P 1'
_symmetry_Int_Tables_number 1
loop_
_symmetry_equiv_pos_as_xyz
'x,y,z'
loop_
_atom_site_label
_atom_site_type_symbol
_atom_site_fract_x
_atom_site_fract_y
_atom_site_fract_z
_atom_site_occupancy
Ba1 Ba 0.000 0.000 0.000 1
Mg1 Mg 0.293 0.293 0.705 1
Mg2 Mg 0.293 0.705 0.293 1
Mg3 Mg 0.295 0.707 0.707 1
Mg4 Mg 0.705 0.293 0.293 1
Mg5 Mg 0.707 0.295 0.707 1
Mg6 Mg 0.707 0.707 0.295 1
Cd1 Cd 0.111 0.500 0.889 1
Cd2 Cd 0.111 0.889 0.500 1
Cd3 Cd 0.127 0.381 0.381 1
Cd4 Cd 0.381 0.127 0.381 1
Cd5 Cd 0.381 0.381 0.127 1
Cd6 Cd 0.500 0.111 0.889 1
Cd7 Cd 0.500 0.889 0.111 1
Cd8 Cd 0.619 0.619 0.873 1
Cd9 Cd 0.619 0.873 0.619 1
Cd10 Cd 0.873 0.619 0.619 1
Cd11 Cd 0.889 0.111 0.500 1
Cd12 Cd 0.889 0.500 0.111 1

Entry 8:
# BaMgCd6 PBE relaxed
# - Crystal system: tetragonal
# - Energy relative to the lowest polymorph listed for this composition: 0.09 eV/f.u.
# - M_tot: 0.00 μB per formula unit
# - E_form: -141 meV/atom
data_BaMgCd6
_cell_length_a 4.912
_cell_length_b 4.912
_cell_length_c 9.287
_cell_angle_alpha 90.00
_cell_angle_beta 90.00
_cell_angle_gamma 90.00
_symmetry_space_group_name_H-M 'P 1'
_symmetry_Int_Tables_number 1
loop_
_symmetry_equiv_pos_as_xyz
'x,y,z'
loop_
_atom_site_label
_atom_site_type_symbol
_atom_site_fract_x
_atom_site_fract_y
_atom_site_fract_z
_atom_site_occupancy
Ba1 Ba 0.000 0.000 0.000 1
Mg1 Mg 0.000 0.000 0.500 1
Cd1 Cd 0.000 0.500 0.331 1
Cd2 Cd 0.000 0.500 0.669 1
Cd3 Cd 0.500 0.000 0.331 1
Cd4 Cd 0.500 0.000 0.669 1
Cd5 Cd 0.500 0.500 0.154 1
Cd6 Cd 0.500 0.500 0.846 1

| no. | VASP energy (eV per atom) |
| --- | --- |
| 1 | -1.73 |
| 2 | -1.57 |
| 3 | -1.19 |
| 4 | -1.62 |
| 5 | -1.64 |
| 6 | -1.64 |
| 7 | -1.23 |
| 8 | -1.27 |